# PmPu2ThP4

A relaxed PmPu2ThP4 crystal (PBE, the Alexandria database).

Lattice parameters (Å, degrees): 4.0867 7.0089 7.0717 70.35 90.00 90.00
Fractional positions:
Pm (0.5000, 0.5000, 0.0000)
Pu (0.0000, 0.0000, 0.0000)
Pu (0.5000, 0.0000, 0.5000)
Th (0.0000, 0.5000, 0.5000)
P (0.0000, 0.7622, 0.7451)
P (0.0000, 0.2378, 0.2549)
P (0.5000, 0.7608, 0.2468)
P (0.5000, 0.2392, 0.7532)

Formation energy from the elements: -1.371 eV per atom
Final energy: -9.18 eV/atom
Magnetic moment: 10.2 μB/f.u.
Volume: 23.84 Å³/atom
Space-group type: P2/m (10)